Record 1
A plane-wave DFT calculation with PBE-GGA was carried out for a relaxed structure of CdSn2HAu.

Properties
Symmetry: P4/mmm
Density, g/cm3: 8.35
Energy, eV/atom: -3.02

a b c (Å): 5.634 5.634 3.431
angles (deg): 90.00 90.00 90.00
Positions (direct):
Au (0.000, 0.000, 0.000)
Cd (0.500, 0.500, 0.500)
H (0.000, 0.000, 0.500)
Sn (0.000, 0.500, 0.000)
Sn (0.500, 0.000, 0.000)


Record 2
A plane-wave DFT calculation with PBE-GGA was carried out for a relaxed structure of Cd2SnHAu.

Properties
Symmetry: P4/mmm
Density, g/cm3: 8.30
Energy, eV/atom: -2.36

a b c (Å): 5.669 3.371 5.669
angles (deg): 90.00 90.00 90.00
Positions (direct):
H (0.000, 0.500, 0.000)
Sn (0.500, 0.500, 0.500)
Au (0.000, 0.000, 0.000)
Cd (0.500, 0.000, 0.000)
Cd (0.000, 0.000, 0.500)


Record 3
A plane-wave DFT calculation with PBE-GGA was carried out for a relaxed structure of Sr2CdHAu.

Properties
Symmetry: P4/mmm
Density, g/cm3: 6.54
Relative energy among the computed polymorphs, kJ per mole of atoms: 0.00

a b c (Å): 5.595 5.595 3.940
angles (deg): 90.00 90.00 90.00
Positions (direct):
Cd (0.500, 0.500, 0.500)
Sr (0.000, 0.500, 0.000)
Au (0.000, 0.000, 0.500)
H (0.000, 0.000, 0.000)
Sr (0.500, 0.000, 0.000)


Record 4
A plane-wave DFT calculation with PBE-GGA was carried out for a relaxed structure of Sr2CdHAu.

Properties
Symmetry: P4/mmm
Density, g/cm3: 6.68
Relative energy among the computed polymorphs, kJ per mole of atoms: 1.72

a b c (Å): 5.284 5.284 4.323
angles (deg): 90.00 90.00 90.00
Positions (direct):
H (0.000, 0.000, 0.000)
Au (0.500, 0.500, 0.500)
Sr (0.500, 0.000, 0.000)
Sr (0.000, 0.500, 0.000)
Cd (0.000, 0.000, 0.500)


Record 5
A plane-wave DFT calculation with PBE-GGA was carried out for a relaxed structure of Sr2CdHAu.

Properties
Symmetry: P4/mmm
Density, g/cm3: 4.24
Relative energy among the computed polymorphs, kJ per mole of atoms: 42.43

a b c (Å): 6.041 6.041 5.207
angles (deg): 90.00 90.00 90.00
Positions (direct):
Au (0.000, 0.000, 0.000)
Sr (0.000, 0.500, 0.000)
Sr (0.500, 0.000, 0.000)
H (0.500, 0.500, 0.500)
Cd (0.000, 0.000, 0.500)


Record 6
A plane-wave DFT calculation with PBE-GGA was carried out for a relaxed structure of Ti2CdHAu.

Properties
Symmetry: P4/mmm
Density, g/cm3: 9.30
Relative energy among the computed polymorphs, kJ per mole of atoms: 0.00

a b c (Å): 4.051 4.051 4.416
angles (deg): 90.00 90.00 90.00
Positions (direct):
Ti (0.500, 0.000, 0.000)
Cd (0.000, 0.000, 0.500)
H (0.000, 0.000, 0.000)
Au (0.500, 0.500, 0.500)
Ti (0.000, 0.500, 0.000)


Record 7
A plane-wave DFT calculation with PBE-GGA was carried out for a relaxed structure of Ti2CdHAu.

Properties
Symmetry: P4/mmm
Density, g/cm3: 9.26
Relative energy among the computed polymorphs, kJ per mole of atoms: 2.43

a b c (Å): 4.121 4.121 4.287
angles (deg): 90.00 90.00 90.00
Positions (direct):
H (0.000, 0.000, 0.000)
Cd (0.500, 0.500, 0.500)
Au (0.000, 0.000, 0.500)
Ti (0.500, 0.000, 0.000)
Ti (0.000, 0.500, 0.000)


Record 8
A plane-wave DFT calculation with PBE-GGA was carried out for a relaxed structure of TlCd2HAu.

Properties
Symmetry: P4/mmm
Density, g/cm3: 9.35
Energy, eV/atom: -2.08

a b c (Å): 5.598 5.598 3.553
angles (deg): 90.00 90.00 90.00
Positions (direct):
H (0.000, 0.000, 0.500)
Cd (0.000, 0.500, 0.000)
Cd (0.500, 0.000, 0.000)
Tl (0.500, 0.500, 0.500)
Au (0.000, 0.000, 0.000)


Record 9
A plane-wave DFT calculation with PBE-GGA was carried out for a relaxed structure of YCd2HAu.

Properties
Symmetry: P4/mmm
Density, g/cm3: 9.14
Energy, eV/atom: -3.25

a b c (Å): 4.554 4.554 4.484
angles (deg): 90.00 90.00 90.00
Positions (direct):
Cd (0.500, 0.000, 0.000)
Cd (0.000, 0.500, 0.000)
Y (0.000, 0.000, 0.500)
H (0.000, 0.000, 0.000)
Au (0.500, 0.500, 0.500)


Record 10
A plane-wave DFT calculation with PBE-GGA was carried out for a relaxed structure of Hf2CdAu.

Properties
Symmetry: Pmma
Density, g/cm3: 13.29
Formation enthalpy at 0 K, kcal/mol of atoms: -6.56

a b c (Å): 4.559 4.507 8.104
angles (deg): 89.99 90.00 90.00
Positions (direct):
Hf (0.750, 0.500, 0.873)
Au (0.750, 0.000, 0.640)
Au (0.250, 0.000, 0.360)
Hf (0.250, 0.500, 0.127)
Hf (0.750, 0.000, 0.130)
Cd (0.250, 0.500, 0.607)
Hf (0.250, 0.000, 0.870)
Cd (0.750, 0.500, 0.393)


Record 11
A plane-wave DFT calculation with PBE-GGA was carried out for a relaxed structure of HfCd2Au.

Properties
Symmetry: Fm-3m
Density, g/cm3: 12.50
Relative energy among the computed polymorphs, kJ per mole of atoms: 13.22
Formation enthalpy at 0 K, kcal/mol of atoms: 0.48

a b c (Å): 4.831 4.831 4.831
angles (deg): 60.00 60.00 60.00
Positions (direct):
Hf (0.000, 0.000, 0.000)
Cd (0.250, 0.250, 0.250)
Au (0.500, 0.500, 0.500)
Cd (0.750, 0.750, 0.750)


Record 12
A plane-wave DFT calculation with PBE-GGA was carried out for a relaxed structure of Hf2CdAu.

Properties
Symmetry: P4/mmm
Density, g/cm3: 13.64
Formation enthalpy at 0 K, kcal/mol of atoms: -4.61

a b c (Å): 3.125 3.125 8.305
angles (deg): 90.00 90.00 90.00
Positions (direct):
Au (0.500, 0.500, 0.000)
Hf (0.000, 0.000, 0.761)
Cd (0.500, 0.500, 0.500)
Hf (0.000, 0.000, 0.239)